1.
DFT (PBE) results for a geometry-optimized LaCCl2 structure.

Structure (POSCAR):
```
LaCCl2
1.0
-3.7003 0.0320 -2.2894
-0.6251 -4.1998 0.9517
-6.9272 0.3780 7.0662
Cl La C
4 2 2
direct
0.3750 0.3830 0.7500
0.6170 0.1250 0.2500
0.1330 0.6250 0.2500
0.8750 0.8670 0.7500
0.7500 0.2500 0.5000
0.0000 0.0000 0.0000
0.5000 0.5000 0.0000
0.2500 0.7500 0.5000
```

The density of states at the Fermi level is 1.5 states/eV/f.u. Its excess energy over the best structure of this formula in the dataset is 121 meV/atom. The calculation puts the energy relative to the elements, uncorrected at -17 kJ/mol of formula units. For the uncorrected energy, the calculation gives -4.51 eV/atom. For the theoretical density, the calculation gives 4.13 Mg/m³.


2.
DFT (PBE) results for a geometry-optimized La6CCl12 structure.

Structure (POSCAR):
```
La6CCl12
1.0
-3.4735 -7.0085 2.6322
1.3134 -5.4538 -6.0535
6.2857 -4.6566 2.6306
Cl La C
12 6 1
direct
0.8898 0.4397 0.8898
0.8241 0.4483 0.4483
0.4483 0.8241 0.4483
0.1759 0.5517 0.5517
0.5603 0.1102 0.1102
0.4483 0.4483 0.8241
0.1102 0.1102 0.5603
0.5517 0.5517 0.1759
0.8898 0.8898 0.4397
0.4397 0.8898 0.8898
0.1102 0.5603 0.1102
0.5517 0.1759 0.5517
0.2227 0.8076 0.2227
0.8076 0.2227 0.2227
0.7773 0.1924 0.7773
0.1924 0.7773 0.7773
0.7773 0.7773 0.1924
0.2227 0.2227 0.8076
0.0000 0.0000 0.0000
```

The density of states at the Fermi level is 3.7 states/eV/f.u. The calculation puts the energy relative to the elements, uncorrected at -3528 kJ/mol of formula units. For the uncorrected energy, the calculation gives -5.13 eV/atom. For the theoretical density, the calculation gives 4.12 Mg/m³.


3.
DFT (PBE) results for a geometry-optimized La3CCl structure.

Structure (POSCAR):
```
La3CCl
1.0
-3.7657 3.5968 -0.1894
-0.1678 -0.4489 -5.1888
-3.5979 -3.7436 0.4402
C Cl La
1 1 3
direct
0.0000 0.0000 0.0000
0.5000 0.5000 0.5000
0.5000 0.0000 0.0000
0.0000 0.0000 0.5000
0.0000 0.5000 0.0000
```

The density of states at the Fermi level is 8.3 states/eV/f.u. Its excess energy over the best structure of this formula in the dataset is 369 meV/atom. The calculation puts the energy relative to the elements, uncorrected at -116 kJ/mol of formula units. For the uncorrected energy, the calculation gives -5.41 eV/atom. For the theoretical density, the calculation gives 5.45 Mg/m³.


4.
DFT (PBE) results for a geometry-optimized La3CCl structure.

Structure (POSCAR):
```
La3CCl
1.0
-2.0649 6.8773 0.8196
-2.8940 0.9488 9.0350
6.5148 4.1877 5.5611
La Cl C
12 4 4
direct
0.1103 0.6922 0.6237
0.3897 0.3763 0.3078
0.3744 0.2429 0.9702
0.3641 0.9936 0.3684
0.8744 0.9702 0.2429
0.6256 0.7571 0.0298
0.6103 0.6237 0.6922
0.1359 0.6316 0.0064
0.8641 0.3684 0.9936
0.6359 0.0064 0.6316
0.8897 0.3078 0.3763
0.1256 0.0298 0.7571
0.2500 0.7155 0.2845
0.2500 0.3487 0.6513
0.7500 0.2845 0.7155
0.7500 0.6513 0.3487
0.6643 0.1596 0.3532
0.1643 0.3532 0.1596
0.8357 0.6468 0.8404
0.3357 0.8404 0.6468
```

The density of states at the Fermi level is 3.5 states/eV/f.u. Its excess energy over the best structure of this formula in the dataset is 0 meV/atom. The calculation puts the energy relative to the elements, uncorrected at -294 kJ/mol of formula units. For the uncorrected energy, the calculation gives -5.78 eV/atom. For the theoretical density, the calculation gives 5.43 Mg/m³.


5.
DFT (PBE) results for a geometry-optimized LaCCl2 structure.

Structure (POSCAR):
```
LaCCl2
1.0
-5.6932 1.4848 5.9644
-2.4790 4.0338 6.9118
-5.2675 5.1671 3.9680
La Cl C
1 2 1
direct
0.5000 0.5000 0.5000
0.8990 0.8990 0.8990
0.1010 0.1010 0.1010
0.0000 0.0000 0.0000
```

The density of states at the Fermi level is 1.6 states/eV/f.u. Its excess energy over the best structure of this formula in the dataset is 465 meV/atom. The calculation puts the energy relative to the elements, uncorrected at 115 kJ/mol of formula units. For the uncorrected energy, the calculation gives -4.16 eV/atom. For the theoretical density, the calculation gives 2.99 Mg/m³.


6.
DFT (PBE) results for a geometry-optimized La3CCl3 structure.

Structure (POSCAR):
```
La3CCl3
1.0
-5.0293 3.1546 4.8590
5.2735 -4.0337 3.8436
4.0525 5.7987 0.0679
La Cl C
6 6 2
direct
0.1193 0.1193 0.7975
0.8807 0.5741 0.7615
0.5741 0.8807 0.7615
0.8807 0.8807 0.2025
0.4259 0.1193 0.2385
0.1193 0.4259 0.2385
0.5320 0.5320 0.2679
0.2487 0.7513 0.0000
0.7513 0.2487 0.0000
0.1775 0.8225 0.5000
0.4680 0.4680 0.7321
0.8225 0.1775 0.5000
0.8497 0.8497 0.8616
0.1503 0.1503 0.1384
```

The density of states at the Fermi level is 3.7 states/eV/f.u. Its excess energy over the best structure of this formula in the dataset is 238 meV/atom. The calculation puts the energy relative to the elements, uncorrected at -890 kJ/mol of formula units. For the uncorrected energy, the calculation gives -5.54 eV/atom. For the theoretical density, the calculation gives 4.56 Mg/m³.


7.
DFT (PBE) results for a geometry-optimized LaMo2CCl structure.

Structure (POSCAR):
```
LaMo2CCl
1.0
-2.8242 -2.0689 2.6492
2.9960 -3.1181 0.7588
1.7550 2.6441 3.9358
La C Mo Cl
1 1 2 1
direct
0.5000 0.5000 0.5000
0.0000 0.0000 0.5000
0.0000 0.5000 0.0000
0.5000 0.0000 0.0000
0.0000 0.0000 0.0000
```

The density of states at the Fermi level is 2.6 states/eV/f.u. The calculation puts the energy relative to the elements, uncorrected at 724 kJ/mol of formula units. For the uncorrected energy, the calculation gives -6.03 eV/atom. For the theoretical density, the calculation gives 6.45 Mg/m³.


8.
DFT (PBE) results for a geometry-optimized LaCN2Cl structure.

Structure (POSCAR):
```
LaCN2Cl
1.0
-0.1549 -3.1865 -2.4603
4.8959 -1.4975 1.6314
-1.8507 -4.4721 5.9087
Cl C N La
2 2 4 2
direct
0.2500 0.7466 0.0406
0.7500 0.2534 0.9594
0.7500 0.6532 0.3578
0.2500 0.3468 0.6422
0.7500 0.8768 0.3819
0.2500 0.1232 0.6181
0.2500 0.5674 0.6621
0.7500 0.4326 0.3379
0.7500 0.8234 0.7360
0.2500 0.1766 0.2640
```

The density of states at the Fermi level is 0.0 states/eV/f.u. The calculation puts the energy relative to the elements, uncorrected at -603 kJ/mol of formula units. For the uncorrected energy, the calculation gives -7.78 eV/atom. For the theoretical density, the calculation gives 4.38 Mg/m³.


9.
DFT (PBE) results for a geometry-optimized La8CN3Cl4 structure.

Structure (POSCAR):
```
La8CN3Cl4
1.0
7.5773 0.0000 0.0000
0.0000 8.4304 0.6091
-3.7887 -3.7944 5.3574
La N Cl C
8 3 4 1
direct
0.7679 0.3094 0.5358
0.2322 0.6906 0.9585
0.7296 0.6886 0.4591
0.7678 0.3094 0.0415
0.2704 0.3114 0.5409
0.7264 0.6906 0.9585
0.2321 0.6906 0.4642
0.2736 0.3094 0.0415
0.0000 0.5000 0.5000
0.5000 0.5000 0.5000
0.5000 0.5000 0.0000
0.0000 0.0000 0.5000
0.5000 0.0000 0.0000
0.5000 0.0000 0.5000
0.0000 0.0000 0.0000
0.0000 0.5000 0.0000
```

The density of states at the Fermi level is 7.5 states/eV/f.u. The calculation puts the energy relative to the elements, uncorrected at -2283 kJ/mol of formula units. For the uncorrected energy, the calculation gives -6.54 eV/atom. For the theoretical density, the calculation gives 6.03 Mg/m³.


10.
DFT (PBE) results for a geometry-optimized La8C3NCl3 structure.

Structure (POSCAR):
```
La8C3NCl3
1.0
-4.8396 5.9138 0.3388
-2.0419 -6.4074 -3.6743
0.1833 -0.3371 8.5022
N C La Cl
1 3 8 3
direct
0.0000 0.0000 0.5000
0.5000 0.5000 0.5000
0.0000 0.5000 0.5000
0.5000 0.0000 0.5000
0.2309 0.9632 0.6938
0.7324 0.4648 0.6970
0.2308 0.4616 0.6938
0.2676 0.5352 0.3030
0.2678 0.0368 0.3062
0.7691 0.0368 0.3062
0.7322 0.9632 0.6938
0.7692 0.5384 0.3062
0.0000 0.5000 0.0000
0.0000 0.0000 0.0000
0.5000 0.5000 0.0000
```

The density of states at the Fermi level is 7.6 states/eV/f.u. The calculation puts the energy relative to the elements, uncorrected at -1429 kJ/mol of formula units. For the uncorrected energy, the calculation gives -6.38 eV/atom. For the theoretical density, the calculation gives 5.71 Mg/m³.


11.
DFT (PBE) results for a geometry-optimized La2CN3Cl structure.

Structure (POSCAR):
```
La2CN3Cl
1.0
8.2948 0.0012 0.0000
-2.6571 7.8577 0.0000
0.0000 0.0000 3.9598
C N Cl La
2 6 2 4
direct
0.0000 0.5000 0.5000
0.5000 0.0000 0.5000
0.6552 0.6552 0.0000
0.5047 0.1504 0.5000
0.1504 0.5047 0.5000
0.8496 0.4953 0.5000
0.4953 0.8496 0.5000
0.3448 0.3448 0.0000
0.8783 0.1217 0.0000
0.1217 0.8783 0.0000
0.2129 0.2129 0.5000
0.6378 0.3622 0.0000
0.3622 0.6378 0.0000
0.7871 0.7871 0.5000
```

The density of states at the Fermi level is 0.0 states/eV/f.u. The calculation puts the energy relative to the elements, uncorrected at -942 kJ/mol of formula units. For the uncorrected energy, the calculation gives -7.95 eV/atom. For the theoretical density, the calculation gives 4.73 Mg/m³.


12.
DFT (PBE) results for a geometry-optimized La6CN2Cl3 structure.

Structure (POSCAR):
```
La6CN2Cl3
1.0
-1.6019 -3.3926 -0.5135
7.6298 -3.3718 -1.5251
-1.3688 1.3838 9.0898
La C Cl N
6 1 3 2
direct
0.9854 0.7790 0.9707
0.3197 0.4500 0.6394
0.6547 0.1189 0.3094
0.3453 0.8811 0.6906
0.0146 0.2210 0.0293
0.6803 0.5500 0.3606
0.5000 0.0000 0.0000
0.8350 0.1668 0.6700
0.1650 0.8332 0.3300
0.5000 0.5000 0.0000
0.1686 0.3365 0.3372
0.8314 0.6635 0.6628
```

The density of states at the Fermi level is 3.0 states/eV/f.u. The calculation puts the energy relative to the elements, uncorrected at -1661 kJ/mol of formula units. For the uncorrected energy, the calculation gives -6.52 eV/atom. For the theoretical density, the calculation gives 6.01 Mg/m³.